Record 1
# Pm3Pr3Cd2

Crystalline Pm3Pr3Cd2 at its relaxed geometry (PBE, Alexandria via LeMat-Bulk).

Total DFT energy (no corrections)   -3.8747 eV/atom
Formation energy   -0.072 eV per atom
Space-group type   Cmcm

Lattice parameters (Å, degrees): 5.410 6.594 16.003 90.00 90.00 114.22
Fractional positions:
Pm  0.644  0.287  0.471
Pm  0.356  0.713  0.971
Pm  0.644  0.287  0.029
Pm  0.356  0.713  0.529
Pm  0.457  0.914  0.250
Pm  0.543  0.086  0.750
Pr  0.964  0.927  0.392
Pr  0.036  0.073  0.892
Pr  0.964  0.927  0.108
Pr  0.036  0.073  0.608
Pr  0.731  0.462  0.250
Pr  0.269  0.538  0.750
Cd  0.770  0.540  0.860
Cd  0.230  0.460  0.360
Cd  0.770  0.540  0.640
Cd  0.230  0.460  0.140

Record 2
# Pm4Pr5Cd

Crystalline Pm4Pr5Cd at its relaxed geometry (PBE, Alexandria via LeMat-Bulk).

Total DFT energy (no corrections)   -4.4339 eV/atom
Formation energy   -0.052 eV per atom
Space-group type   P4/mmm

Lattice parameters (Å, degrees): 3.712 3.712 24.837 90.00 90.00 90.00
Fractional positions:
Pm  0.000  0.000  0.188
Pm  0.000  0.000  0.396
Pm  0.000  0.000  0.604
Pm  0.000  0.000  0.812
Pr  0.500  0.500  0.085
Pr  0.500  0.500  0.292
Pr  0.500  0.500  0.500
Pr  0.500  0.500  0.708
Pr  0.500  0.500  0.915
Cd  0.000  0.000  0.000

Record 3
# Pm5Pr2Cd4

Crystalline Pm5Pr2Cd4 at its relaxed geometry (PBE, Alexandria via LeMat-Bulk).

Total DFT energy (no corrections)   -3.3648 eV/atom
Formation energy   -0.004 eV per atom
Space-group type   C2/m

Lattice parameters (Å, degrees): 3.411 8.117 15.321 124.85 96.39 90.00
Fractional positions:
Pm  0.233  0.267  0.467
Pm  0.767  0.733  0.533
Pm  0.139  0.411  0.278
Pm  0.500  0.000  0.000
Pm  0.861  0.589  0.722
Pr  0.094  0.906  0.187
Pr  0.906  0.094  0.813
Cd  0.673  0.820  0.346
Cd  0.965  0.577  0.929
Cd  0.327  0.180  0.654
Cd  0.035  0.423  0.071

Record 4
# PmPrCd2

Crystalline PmPrCd2 at its relaxed geometry (PBE, Alexandria via LeMat-Bulk).

Total DFT energy (no corrections)   -3.1607 eV/atom
Formation energy   -0.321 eV per atom
Space-group type   Fm-3m
Offset from the most stable computed form   0 meV per atom

Lattice parameters (Å, degrees): 5.457 5.457 5.457 60.00 60.00 60.00
Each line ends with the local moment (μB).
Fractional positions:
Pr  0.500  0.500  0.500  0.19
Cd  0.250  0.250  0.250  0.01
Cd  0.750  0.750  0.750  0.01
Pm  0.000  0.000  0.000  0.21

Record 5
# PmPr12Cd3

Crystalline PmPr12Cd3 at its relaxed geometry (PBE, Alexandria via LeMat-Bulk).

Total DFT energy (no corrections)   -4.1294 eV/atom
Formation energy   -0.076 eV per atom
Space-group type   P4/mmm

Lattice parameters (Å, degrees): 5.056 5.056 20.492 90.00 90.00 90.00
Fractional positions:
Pm  0.000  0.000  0.000
Pr  0.500  0.500  0.000
Pr  0.500  0.500  0.255
Pr  0.500  0.500  0.500
Pr  0.500  0.500  0.745
Pr  0.500  0.000  0.131
Pr  0.500  0.000  0.378
Pr  0.500  0.000  0.622
Pr  0.500  0.000  0.869
Pr  0.000  0.500  0.131
Pr  0.000  0.500  0.378
Pr  0.000  0.500  0.622
Pr  0.000  0.500  0.869
Cd  0.000  0.000  0.257
Cd  0.000  0.000  0.500
Cd  0.000  0.000  0.743

Record 6
# Pm2Pr3Cd

Crystalline Pm2Pr3Cd at its relaxed geometry (PBE, Alexandria via LeMat-Bulk).

Total DFT energy (no corrections)   -4.1520 eV/atom
Formation energy   -0.026 eV per atom
Space-group type   C2/m
Offset from the most stable computed form   0 meV per atom

Lattice parameters (Å, degrees): 6.270 6.287 11.847 84.87 79.66 60.09
Fractional positions:
Pm  0.000  0.000  0.000
Pm  0.500  0.000  0.500
Pm  0.163  0.674  0.500
Pm  0.837  0.326  0.500
Pr  0.420  0.660  0.757
Pr  0.260  0.000  0.242
Pr  0.580  0.340  0.243
Pr  0.920  0.660  0.243
Pr  0.080  0.340  0.757
Pr  0.740  0.000  0.758
Cd  0.668  0.665  0.000
Cd  0.332  0.335  0.000

Record 7
# PmPr3Cd

Crystalline PmPr3Cd at its relaxed geometry (PBE, Alexandria via LeMat-Bulk).

Total DFT energy (no corrections)   -4.1111 eV/atom
Formation energy   -0.110 eV per atom
Space-group type   P-1
Offset from the most stable computed form   0 meV per atom

Lattice parameters (Å, degrees): 3.813 8.893 10.231 103.00 100.74 90.01
Fractional positions:
Pm  0.819  0.075  0.897
Pm  0.011  0.150  0.278
Pr  0.618  0.942  0.492
Pr  0.213  0.282  0.683
Pr  0.419  0.394  0.095
Pr  0.228  0.737  0.714
Pr  0.412  0.830  0.081
Pr  0.602  0.488  0.461
Cd  0.016  0.683  0.289
Cd  0.814  0.542  0.886

Record 8
# Pm3Pr12Cd

Crystalline Pm3Pr12Cd at its relaxed geometry (PBE, Alexandria via LeMat-Bulk).

Total DFT energy (no corrections)   -4.5449 eV/atom
Formation energy   -0.012 eV per atom
Space-group type   P4/mmm

Lattice parameters (Å, degrees): 5.161 5.161 20.897 90.00 90.00 90.00
Fractional positions:
Pm  0.000  0.000  0.247
Pm  0.000  0.000  0.500
Pm  0.000  0.000  0.753
Pr  0.500  0.500  0.000
Pr  0.500  0.500  0.245
Pr  0.500  0.500  0.500
Pr  0.500  0.500  0.755
Pr  0.500  0.000  0.121
Pr  0.500  0.000  0.373
Pr  0.500  0.000  0.627
Pr  0.500  0.000  0.879
Pr  0.000  0.500  0.121
Pr  0.000  0.500  0.373
Pr  0.000  0.500  0.627
Pr  0.000  0.500  0.879
Cd  0.000  0.000  0.000